8
Lattice="3.887 0.000 0.000 0.000 3.721 0.000 0.000 0.000 15.084" Properties=species:S:1:pos:R:3 comment="BaYCl2 (PBEsol, relaxed)" final_energy_ev_per_atom=-4.699 space_group="Amm2, No. 38" de_polymorph_mev_per_atom=0 pbc="T T T"
Ba 0.000 0.000 0.000
Ba 0.000 1.861 7.542
Y 1.944 0.000 4.097
Y 1.944 1.861 11.639
Cl 0.000 0.000 12.077
Cl 0.000 1.861 4.535
Cl 1.944 0.000 9.500
Cl 1.944 1.861 1.958

---

16
Lattice="5.560 0.000 0.000 0.000 5.560 0.000 0.000 0.000 16.946" Properties=species:S:1:pos:R:3 comment="BaYCl2 (PBEsol, relaxed)" final_energy_ev_per_atom=-4.538 space_group="I-42d, No. 122" de_polymorph_mev_per_atom=161 pbc="T T T"
Ba 0.000 0.000 0.000
Ba 0.000 2.780 4.237
Ba 2.780 0.000 12.710
Ba 2.780 2.780 8.473
Y 0.000 0.000 8.473
Y 0.000 2.780 12.710
Y 2.780 0.000 4.237
Y 2.780 2.780 0.000
Cl 0.828 1.390 10.591
Cl 1.390 3.608 14.828
Cl 1.390 4.732 6.355
Cl 1.952 1.390 2.118
Cl 3.608 4.170 2.118
Cl 4.170 0.828 6.355
Cl 4.170 1.952 14.828
Cl 4.732 4.170 10.591

---

40
Lattice="10.112 0.000 0.000 0.000 6.946 0.000 0.000 0.000 16.693" Properties=species:S:1:pos:R:3 comment="Ba2YCl7 (PBEsol, relaxed)" final_energy_ev_per_atom=-4.910 space_group="Pnma, No. 62" de_polymorph_mev_per_atom=4 pbc="T T T"
Ba 1.354 1.736 3.812
Ba 1.492 1.736 15.658
Ba 3.564 5.209 7.312
Ba 3.701 5.209 12.158
Ba 6.410 1.736 4.535
Ba 6.547 1.736 9.381
Ba 8.620 5.209 1.035
Ba 8.757 5.209 12.881
Y 0.896 1.736 10.733
Y 4.160 5.209 2.386
Y 5.952 1.736 14.307
Y 9.216 5.209 5.960
Cl 0.555 5.209 15.553
Cl 0.997 3.508 6.527
Cl 0.997 6.911 6.527
Cl 1.147 0.133 12.839
Cl 1.147 3.340 12.839
Cl 2.375 3.530 1.479
Cl 2.375 6.889 1.479
Cl 2.681 0.057 9.826
Cl 2.681 3.416 9.826
Cl 3.909 3.606 4.492
Cl 3.909 6.813 4.492
Cl 4.059 0.035 14.873
Cl 4.059 3.438 14.873
Cl 4.501 1.736 7.206
Cl 5.611 5.209 9.487
Cl 6.053 3.508 1.820
Cl 6.053 6.911 1.820
Cl 6.203 0.133 12.201
Cl 6.203 3.340 12.201
Cl 7.430 3.530 6.867
Cl 7.430 6.889 6.867
Cl 7.737 0.057 15.214
Cl 7.737 3.416 15.214
Cl 8.964 3.606 3.854
Cl 8.964 6.813 3.854
Cl 9.115 0.035 10.166
Cl 9.115 3.438 10.166
Cl 9.556 1.736 1.140

---

10
Lattice="3.855 0.000 0.000 0.000 3.855 0.000 0.000 0.000 18.981" Properties=species:S:1:pos:R:3 comment="Ba2Zn2Cl (PBEsol, relaxed)" final_energy_ev_per_atom=-2.508 space_group="I4/mmm, No. 139" pbc="T T T"
Ba 0.000 0.000 2.000
Ba 0.000 0.000 16.981
Ba 1.927 1.927 7.490
Ba 1.927 1.927 11.491
Zn 0.000 1.927 4.745
Zn 0.000 1.927 14.236
Zn 1.927 0.000 4.745
Zn 1.927 0.000 14.236
Cl 0.000 0.000 9.490
Cl 1.927 1.927 0.000

---

4
Lattice="3.707 0.000 0.000 0.000 5.734 0.000 0.000 0.000 5.748" Properties=species:S:1:pos:R:3 comment="Ba2ZnCl (PBEsol, relaxed)" final_energy_ev_per_atom=-2.817 space_group="Pmmm, No. 47" de_polymorph_mev_per_atom=42 pbc="T T T"
Ba 0.000 0.000 0.000
Ba 0.000 2.867 2.874
Zn 1.853 0.000 2.874
Cl 1.853 2.867 0.000

---

16
Lattice="8.070 0.000 0.000 0.000 8.070 0.000 0.000 0.000 13.653" Properties=species:S:1:pos:R:3 comment="BaZnCl2 (PBEsol, relaxed)" final_energy_ev_per_atom=-3.221 space_group="I-42d, No. 122" pbc="T T T"
Ba 0.000 0.000 0.000
Ba 0.000 4.035 3.413
Ba 4.035 0.000 10.239
Ba 4.035 4.035 6.826
Zn 0.000 0.000 6.826
Zn 0.000 4.035 10.239
Zn 4.035 0.000 3.413
Zn 4.035 4.035 0.000
Cl 1.242 2.017 1.707
Cl 2.017 5.277 5.120
Cl 2.017 6.828 11.946
Cl 2.793 2.017 8.533
Cl 5.277 6.052 8.533
Cl 6.052 1.242 11.946
Cl 6.052 2.793 5.120
Cl 6.828 6.052 1.707

---

12
Lattice="4.346 0.000 0.000 -2.173 3.764 0.000 0.000 0.000 25.698" Properties=species:S:1:pos:R:3 comment="Ba2ZnCl (PBEsol, relaxed)" final_energy_ev_per_atom=-2.859 space_group="R3m, No. 160" de_polymorph_mev_per_atom=0 pbc="T T T"
Ba 0.000 0.000 0.000
Ba 0.000 0.000 4.376
Ba 0.000 2.509 17.132
Ba 0.000 2.509 21.507
Ba 2.173 1.255 8.566
Ba 2.173 1.255 12.941
Zn 0.000 0.000 19.350
Zn 0.000 2.509 10.785
Zn 2.173 1.255 2.219
Cl 0.000 0.000 15.002
Cl 0.000 2.509 6.436
Cl 2.173 1.255 23.568

---

24
Lattice="7.186 0.000 0.000 0.000 9.830 0.000 0.000 0.000 9.522" Properties=species:S:1:pos:R:3 comment="BaZnCl4 (PBEsol, relaxed)" final_energy_ev_per_atom=-3.795 space_group="Pnna, No. 52" pbc="T T T"
Ba 1.293 2.458 2.381
Ba 2.300 7.373 2.381
Ba 4.886 2.458 7.142
Ba 5.893 7.373 7.142
Zn 1.796 0.000 6.428
Zn 1.796 4.915 7.855
Zn 5.389 0.000 3.094
Zn 5.389 4.915 1.667
Cl 0.034 5.282 2.959
Cl 0.034 9.464 1.803
Cl 1.176 6.737 9.033
Cl 1.176 8.009 5.250
Cl 2.417 1.822 5.250
Cl 2.417 3.094 9.033
Cl 3.559 0.367 1.803
Cl 3.559 4.548 2.959
Cl 3.627 5.282 6.564
Cl 3.627 9.464 7.720
Cl 4.769 6.737 0.489
Cl 4.769 8.009 4.272
Cl 6.010 1.822 4.272
Cl 6.010 3.094 0.489
Cl 7.151 0.367 7.720
Cl 7.151 4.548 6.564

---

24
Lattice="6.426 0.000 0.000 0.000 15.285 0.000 0.000 0.000 6.801" Properties=species:S:1:pos:R:3 comment="BaZnCl4 (PBEsol, relaxed)" final_energy_ev_per_atom=-3.792 space_group="Pbcn, No. 60" pbc="T T T"
Ba 0.000 1.969 1.700
Ba 0.000 13.316 5.101
Ba 3.213 5.673 5.101
Ba 3.213 9.612 1.700
Zn 0.000 5.959 1.700
Zn 0.000 9.327 5.101
Zn 3.213 1.684 5.101
Zn 3.213 13.601 1.700
Cl 0.945 4.565 0.170
Cl 0.945 10.720 3.571
Cl 1.582 0.555 6.179
Cl 1.582 14.731 2.778
Cl 1.631 7.088 2.778
Cl 1.631 8.197 6.179
Cl 2.268 3.077 3.571
Cl 2.268 12.208 0.170
Cl 4.158 3.077 6.631
Cl 4.158 12.208 3.231
Cl 4.795 7.088 0.622
Cl 4.795 8.197 4.023
Cl 4.845 0.555 4.023
Cl 4.845 14.731 0.622
Cl 5.481 4.565 3.231
Cl 5.481 10.720 6.631

---

16
Lattice="8.120 0.000 0.000 0.000 8.120 0.000 0.000 0.000 8.120" Properties=species:S:1:pos:R:3 comment="Ba2ZrCl (PBEsol, relaxed)" final_energy_ev_per_atom=-3.524 space_group="F-43m, No. 216" de_polymorph_mev_per_atom=735 pbc="T T T"
Ba 0.000 0.000 0.000
Ba 0.000 4.060 4.060
Ba 2.030 2.030 2.030
Ba 2.030 6.090 6.090
Ba 4.060 0.000 4.060
Ba 4.060 4.060 0.000
Ba 6.090 2.030 6.090
Ba 6.090 6.090 2.030
Zr 0.000 0.000 4.060
Zr 0.000 4.060 0.000
Zr 4.060 0.000 0.000
Zr 4.060 4.060 4.060
Cl 2.030 2.030 6.090
Cl 2.030 6.090 2.030
Cl 6.090 2.030 2.030
Cl 6.090 6.090 6.090

---

12
Lattice="3.845 0.000 0.000 -1.923 3.330 0.000 0.000 0.000 31.205" Properties=species:S:1:pos:R:3 comment="Ba2ZrCl (PBEsol, relaxed)" final_energy_ev_per_atom=-4.259 space_group="R-3m, No. 166" de_polymorph_mev_per_atom=0 pbc="T T T"
Ba 0.000 0.000 7.552
Ba 0.000 0.000 23.653
Ba 0.000 2.220 13.252
Ba 0.000 2.220 28.355
Ba 1.923 1.110 2.850
Ba 1.923 1.110 17.953
Zr 0.000 0.000 0.000
Zr 0.000 2.220 20.803
Zr 1.923 1.110 10.402
Cl 0.000 0.000 15.602
Cl 0.000 2.220 5.201
Cl 1.923 1.110 26.004

---

10
Lattice="6.319 0.000 0.000 0.000 6.319 0.000 0.000 0.000 8.598" Properties=species:S:1:pos:R:3 comment="Ba2ZrCl2 (PBEsol, relaxed)" final_energy_ev_per_atom=-4.299 space_group="I4/mmm, No. 139" pbc="T T T"
Ba 0.000 3.160 2.149
Ba 0.000 3.160 6.448
Ba 3.160 0.000 2.149
Ba 3.160 0.000 6.448
Zr 0.000 0.000 0.000
Zr 3.160 3.160 4.299
Cl 0.000 0.000 2.518
Cl 0.000 0.000 6.080
Cl 3.160 3.160 1.781
Cl 3.160 3.160 6.817

---

Number 1: uncorrected formation energy -1.45 eV/atom, N(E_F) 0.551 states/eV per atom, volume 218.18 Å³/cell. Number 2: uncorrected formation energy -1.29 eV/atom, N(E_F) 0.875 states/eV per atom, volume 523.82 Å³/cell. Number 3: uncorrected formation energy -2.39 eV/atom, N(E_F) 0.000 states/eV per atom, volume 1172.44 Å³/cell. Number 4: uncorrected formation energy -0.61 eV/atom, N(E_F) 0.793 states/eV per atom, volume 282.01 Å³/cell. Number 5: uncorrected formation energy -0.84 eV/atom, N(E_F) 0.920 states/eV per atom, volume 122.18 Å³/cell. Number 6: uncorrected formation energy -1.28 eV/atom, N(E_F) 0.000 states/eV per atom, volume 889.11 Å³/cell. Number 7: uncorrected formation energy -0.89 eV/atom, N(E_F) 0.769 states/eV per atom, volume 420.44 Å³/cell. Number 8: uncorrected formation energy -1.83 eV/atom, N(E_F) 0.000 states/eV per atom, volume 672.63 Å³/cell. Number 9: uncorrected formation energy -1.83 eV/atom, N(E_F) 0.000 states/eV per atom, volume 668.08 Å³/cell. Number 10: uncorrected formation energy 0.32 eV/atom, N(E_F) 1.400 states/eV per atom, volume 535.44 Å³/cell. Number 11: uncorrected formation energy -0.41 eV/atom, N(E_F) 1.358 states/eV per atom, volume 399.63 Å³/cell. Number 12: uncorrected formation energy -0.82 eV/atom, N(E_F) 1.026 states/eV per atom, volume 343.31 Å³/cell.